# LaZr | Alexandria via LeMat-Bulk | PBE | optimized geometry
# Polymorph energy (0 for the lowest one) ... 161 meV per atom
# Energy of formation from the pure elements ... 0.28 eV per atom
# D(E_F) ... 3.10 states/eV/f.u.
# E_tot ... -77.511 eV/cell
# Mass density ... 5.93 g/cm³
data_LaZr
_chemical_formula_sum 'La6 Zr6'
_space_group_name_H-M_alt 'P 1'
_space_group_IT_number 1
_cell_length_a 9.4262
_cell_length_b 9.4262
_cell_length_c 5.0243
_cell_angle_alpha 90.00
_cell_angle_beta 90.00
_cell_angle_gamma 120.00
loop_
_space_group_symop_operation_xyz
'x,y,z'
loop_
_atom_site_label
_atom_site_type_symbol
_atom_site_fract_x
_atom_site_fract_y
_atom_site_fract_z
La1 La 0.8277 0.6553 0.2500
La2 La 0.1723 0.8277 0.7500
La3 La 0.3447 0.1723 0.2500
La4 La 0.1723 0.3447 0.7500
La5 La 0.8277 0.1723 0.2500
La6 La 0.6553 0.8277 0.7500
Zr1 Zr 0.4432 0.8864 0.2500
Zr2 Zr 0.5568 0.4432 0.7500
Zr3 Zr 0.1136 0.5568 0.2500
Zr4 Zr 0.5568 0.1136 0.7500
Zr5 Zr 0.4432 0.5568 0.2500
Zr6 Zr 0.8864 0.4432 0.7500

---

# LaZr | Alexandria via LeMat-Bulk | PBE | optimized geometry
# Polymorph energy (0 for the lowest one) ... 94 meV per atom
# Energy of formation from the pure elements ... 0.21 eV per atom
# D(E_F) ... 3.23 states/eV/f.u.
# E_tot ... -26.106 eV/cell
# Mass density ... 6.73 g/cm³
data_LaZr
_chemical_formula_sum 'La2 Zr2'
_space_group_name_H-M_alt 'P 1'
_space_group_IT_number 1
_cell_length_a 4.8778
_cell_length_b 5.8891
_cell_length_c 4.8778
_cell_angle_alpha 65.54
_cell_angle_beta 90.00
_cell_angle_gamma 114.46
loop_
_space_group_symop_operation_xyz
'x,y,z'
loop_
_atom_site_label
_atom_site_type_symbol
_atom_site_fract_x
_atom_site_fract_y
_atom_site_fract_z
La1 La 0.0000 0.0000 0.0000
La2 La 0.7500 0.5000 0.7500
Zr1 Zr 0.2500 0.5000 0.2500
Zr2 Zr 0.5000 0.0000 0.5000